A geometry-optimized Tb4ThS5 structure. Source: Alexandria via LeMat-Bulk, functional PBE.

Structure (POSCAR):
```
Tb4ThS5
1.0
-1.9693 2.8008 9.9064
1.9693 -2.8008 9.9064
1.9693 2.8008 -9.9064
Tb Th S
4 1 5
Cartesian
0.0000 0.0000 1.9497 Tb
0.0000 0.0000 5.9411 Tb
0.0000 0.0000 13.8717 Tb
0.0000 0.0000 17.8631 Tb
0.0000 0.0000 9.9064 Th
1.9693 0.0000 0.0000 S
1.9693 0.0000 3.9574 S
1.9693 0.0000 7.8399 S
0.0000 2.8008 2.0665 S
0.0000 2.8008 5.9490 S
```

Calculated values
Crystal system ... orthorhombic
Density of states at the Fermi level ... 0.5907 states/eV per atom
ρ ... 7811 kg/m3
Size of the total moment ... 0.000 μB/atom
Space-group type ... Immm, No. 71

***

A geometry-optimized Tb3ThS structure. Source: Alexandria via LeMat-Bulk, functional PBE.

Structure (POSCAR):
```
Tb3ThS
1.0
5.3191 0.0000 0.0000
0.0000 5.3191 0.0000
0.0000 0.0000 5.3191
Tb Th S
3 1 1
Cartesian
0.0000 0.0000 2.6595 Tb
0.0000 2.6595 0.0000 Tb
2.6595 0.0000 0.0000 Tb
2.6595 2.6595 2.6595 Th
0.0000 0.0000 0.0000 S
```

Calculated values
Crystal system ... cubic
Density of states at the Fermi level ... 1.0645 states/eV per atom
ρ ... 8175 kg/m3
Size of the total moment ... 0.000 μB/atom
Space-group type ... Pm-3m, No. 221

***

A geometry-optimized Tb3ThS4 structure. Source: Alexandria via LeMat-Bulk, functional PBE.

Structure (POSCAR):
```
Tb3ThS4
1.0
3.9807 -5.6002 0.0000
3.9807 5.6002 0.0000
0.0000 0.0000 3.9320
Tb Th S
3 1 4
Cartesian
0.0000 0.0000 0.0000 Tb
1.9903 2.8001 1.9660 Tb
1.9903 -2.8001 1.9660 Tb
3.9807 0.0000 0.0000 Th
1.9257 0.0000 1.9660 S
3.9807 2.8431 0.0000 S
3.9807 -2.8431 0.0000 S
6.0357 0.0000 1.9660 S
```

Calculated values
Crystal system ... orthorhombic
Energy above the lowest structure with this stoichiometry ... 0.000 eV per formula unit
Density of states at the Fermi level ... 0.4046 states/eV per atom
ρ ... 7929 kg/m3
Size of the total moment ... 0.000 μB/atom
Space-group type ... Cmmm, No. 65

***

Number 1: formation energy from raw total energies -1.9608 eV per atom. Number 2: formation energy from raw total energies -0.5991 eV per atom. Number 3: formation energy from raw total energies -1.9544 eV per atom.